# Sc2H4Ru

Sc2H4Ru after structural relaxation (PBE, Alexandria).

Computed properties:
The value obtained for the density is 4.77 g/cm3. The value obtained for the total DFT energy (no corrections) is -5.420 eV per atom. The density of states at the Fermi level is 4.9 states/eV/f.u. As for the space-group type: I4/mmm, No. 139.

Lattice parameters (Å, degrees): 3.4214 3.4214 11.6070 90.00 90.00 90.00
Fractional coordinates of all 14 atoms:
Sc 0.0000 0.0000 0.1561
Sc 0.0000 0.0000 0.8439
Sc 0.5000 0.5000 0.3439
Sc 0.5000 0.5000 0.6561
H 0.0000 0.0000 0.3438
H 0.0000 0.0000 0.6562
H 0.0000 0.5000 0.0000
H 0.0000 0.5000 0.5000
H 0.5000 0.0000 0.0000
H 0.5000 0.0000 0.5000
H 0.5000 0.5000 0.1562
H 0.5000 0.5000 0.8438
Ru 0.0000 0.0000 0.5000
Ru 0.5000 0.5000 0.0000